# 1
# GGA-PBE Zn2FeRh, optimized geometry
# M_tot in Bohr magnetons per cell: 2.93
# Energy relative to the elements in eV/atom: -0.11
# Crystal system: tetragonal
data_Zn2FeRh
_chemical_formula_sum 'Zn2 Fe1 Rh1'
_space_group_name_H-M_alt 'P 4 m m'
_space_group_IT_number 99
_cell_length_a 2.8992
_cell_length_b 2.8992
_cell_length_c 6.5352
_cell_angle_alpha 90.00
_cell_angle_beta 90.00
_cell_angle_gamma 90.00
loop_
_space_group_symop_operation_xyz
'x,y,z'
'-y,x,z'
'-x,-y,z'
'y,-x,z'
'-x,y,z'
'y,x,z'
'x,-y,z'
'-y,-x,z'
loop_
_atom_site_label
_atom_site_fract_x
_atom_site_fract_y
_atom_site_fract_z
_atom_site_occupancy
Zn1 0.0000 0.0000 0.0000 1
Zn2 0.5000 0.5000 0.2734 1
Fe1 0.0000 0.0000 0.5135 1
Rh1 0.5000 0.5000 0.7461 1

---

# 2
# GGA-PBE AcInRhO6, optimized geometry
# M_tot in Bohr magnetons per cell: 2.85
# Energy relative to the elements, uncorrected in eV/atom: -1.544
# Crystal system: trigonal
data_AcInRhO6
_chemical_formula_sum 'Ac1 In1 Rh1 O6'
_space_group_name_H-M_alt 'P 3 1 2'
_space_group_IT_number 149
_cell_length_a 5.4782
_cell_length_b 5.4782
_cell_length_c 5.2821
_cell_angle_alpha 90.00
_cell_angle_beta 90.00
_cell_angle_gamma 120.00
loop_
_space_group_symop_operation_xyz
'x,y,z'
'-y,x-y,z'
'-x+y,-x,z'
'-y,-x,-z'
'-x+y,y,-z'
'x,x-y,-z'
loop_
_atom_site_label
_atom_site_fract_x
_atom_site_fract_y
_atom_site_fract_z
_atom_site_occupancy
Ac1 0.0000 0.0000 0.0000 1
In1 0.3333 0.6667 0.5000 1
Rh1 0.6667 0.3333 0.5000 1
O1 0.3833 0.0296 0.7132 1

---

# 3
# GGA-PBE Li5Cd2In2, optimized geometry
# M_tot in Bohr magnetons per cell: 0.00
# Excess energy over the best structure of this formula in the dataset in meV per atom: 0
# Energy relative to the elements in eV/atom: -0.27
# Crystal system: monoclinic
data_Li5Cd2In2
_chemical_formula_sum 'Li10 Cd4 In4'
_space_group_name_H-M_alt 'C 1 2/m 1'
_space_group_IT_number 12
_cell_length_a 8.2641
_cell_length_b 4.7425
_cell_length_c 8.6235
_cell_angle_alpha 90.00
_cell_angle_beta 90.18
_cell_angle_gamma 90.00
loop_
_space_group_symop_operation_xyz
'x,y,z'
'-x,-y,-z'
'-x,y,-z'
'x,-y,z'
'x+1/2,y+1/2,z'
'-x+1/2,-y+1/2,-z'
'-x+1/2,y+1/2,-z'
'x+1/2,-y+1/2,z'
loop_
_atom_site_label
_atom_site_fract_x
_atom_site_fract_y
_atom_site_fract_z
_atom_site_occupancy
Li1 0.0000 0.0000 0.0000 1
Li2 0.0001 0.0000 0.3398 1
Li3 0.1667 0.5000 0.2343 1
Cd1 0.1662 0.5000 0.5603 1
In1 0.1660 0.5000 0.9014 1

---

# 4
# GGA-PBE ScNi2Mo, optimized geometry
# M_tot in Bohr magnetons per cell: 0.00
# Excess energy over the best structure of this formula in the dataset in meV per atom: 135
# Energy relative to the elements in eV/atom: -0.01
# Crystal system: orthorhombic
data_ScNi2Mo
_chemical_formula_sum 'Sc2 Ni4 Mo2'
_space_group_name_H-M_alt 'I m m 2'
_space_group_IT_number 44
_cell_length_a 2.7885
_cell_length_b 4.4304
_cell_length_c 9.3714
_cell_angle_alpha 90.00
_cell_angle_beta 90.00
_cell_angle_gamma 90.00
loop_
_space_group_symop_operation_xyz
'x,y,z'
'-x,-y,z'
'-x,y,z'
'x,-y,z'
'x+1/2,y+1/2,z+1/2'
'-x+1/2,-y+1/2,z+1/2'
'-x+1/2,y+1/2,z+1/2'
'x+1/2,-y+1/2,z+1/2'
loop_
_atom_site_label
_atom_site_fract_x
_atom_site_fract_y
_atom_site_fract_z
_atom_site_occupancy
Sc1 0.0000 0.0000 0.0000 1
Ni1 0.0000 0.0000 0.5164 1
Ni2 0.0000 0.5000 0.2334 1
Mo1 0.0000 0.5000 0.7809 1

---

M_tot of number 1 (Zn2FeRh)?
2.93 Bohr magnetons per cell

---

Repeat the first record exactly.
# GGA-PBE Zn2FeRh, optimized geometry
# M_tot in Bohr magnetons per cell: 2.93
# Energy relative to the elements in eV/atom: -0.11
# Crystal system: tetragonal
data_Zn2FeRh
_chemical_formula_sum 'Zn2 Fe1 Rh1'
_space_group_name_H-M_alt 'P 4 m m'
_space_group_IT_number 99
_cell_length_a 2.8992
_cell_length_b 2.8992
_cell_length_c 6.5352
_cell_angle_alpha 90.00
_cell_angle_beta 90.00
_cell_angle_gamma 90.00
loop_
_space_group_symop_operation_xyz
'x,y,z'
'-y,x,z'
'-x,-y,z'
'y,-x,z'
'-x,y,z'
'y,x,z'
'x,-y,z'
'-y,-x,z'
loop_
_atom_site_label
_atom_site_fract_x
_atom_site_fract_y
_atom_site_fract_z
_atom_site_occupancy
Zn1 0.0000 0.0000 0.0000 1
Zn2 0.5000 0.5000 0.2734 1
Fe1 0.0000 0.0000 0.5135 1
Rh1 0.5000 0.5000 0.7461 1